Computed, not measured: a relaxed La3Ho2Tl4 crystal at the PBE level of DFT.

a = 12.608 Å, b = 5.052 Å, c = 10.243 Å
α = 90.00°, β = 120.22°, γ = 90.00°
Space group C2/m (No. 12)
Unique sites:
La 0.000 0.000 0.000
La 0.143 0.500 0.688
Ho 0.146 0.500 0.315
Tl 0.067 0.000 0.403
Tl 0.189 0.500 0.035

Results
energy above the lowest structure with this stoichiometry = 0.0106 eV per atom
density of states at the Fermi level = 7.22 states/eV/f.u.
M_tot = 0.0 Bohr magnetons per cell
volume = 564 Å³ per cell
energy of formation from the pure elements = -0.309 eV per atom

=====

Computed, not measured: a relaxed Pd2PbAu crystal at the PBE level of DFT.

a = 4.3259 Å, b = 4.3259 Å, c = 15.4957 Å
α = 90.00°, β = 90.00°, γ = 120.00°
Space group R3m (No. 160, hexagonal axes)
Unique sites:
Pd 0.0000 0.0000 0.0000
Pd 0.0000 0.0000 0.1834
Pb 0.0000 0.0000 0.5981
Au 0.0000 0.0000 0.4132

Results
density of states at the Fermi level = 1.61 states/eV/f.u.
M_tot = 0.0 Bohr magnetons per cell
volume = 251 Å³ per cell
energy of formation from the pure elements = -0.001 eV per atom

=====

Computed, not measured: a relaxed ZnInW2 crystal at the PBE level of DFT.

a = 3.219 Å, b = 4.750 Å, c = 9.205 Å
α = 90.00°, β = 90.00°, γ = 90.00°
Space group Cmm2 (No. 35)
Unique sites:
Zn 0.000 0.000 0.000
In 0.000 0.500 0.269
W 0.000 0.000 0.538
W 0.000 0.500 0.764

Results
energy above the lowest structure with this stoichiometry = 0.0268 eV per atom
density of states at the Fermi level = 1.85 states/eV/f.u.
M_tot = 0.0 Bohr magnetons per cell
volume = 141 Å³ per cell
energy of formation from the pure elements = 0.368 eV per atom

=====

Computed, not measured: a relaxed Tl2CuAg crystal at the PBE level of DFT.

a = 3.284 Å, b = 4.674 Å, c = 11.706 Å
α = 90.00°, β = 90.00°, γ = 90.00°
Space group Imm2 (No. 44)
Unique sites:
Tl 0.000 0.000 0.000
Tl 0.000 0.500 0.215
Cu 0.000 0.000 0.500
Ag 0.000 0.500 0.815

Results
energy above the lowest structure with this stoichiometry = 0.0469 eV per atom
density of states at the Fermi level = 1.57 states/eV/f.u.
M_tot = 0.0 Bohr magnetons per cell
volume = 180 Å³ per cell
energy of formation from the pure elements = 0.217 eV per atom

=====

Computed, not measured: a relaxed NiRu3C crystal at the PBE level of DFT.

a = 4.418 Å, b = 4.418 Å, c = 4.418 Å
α = 90.00°, β = 90.00°, γ = 90.00°
Space group Pm-3m (No. 221)
Unique sites:
Ni 0.000 0.000 0.000
Ru 0.000 0.000 0.500
C 0.500 0.500 0.500

Results
energy above the lowest structure with this stoichiometry = 2.3720 eV per atom
density of states at the Fermi level = 5.01 states/eV/f.u.
M_tot = 4.5 Bohr magnetons per cell
volume = 86 Å³ per cell
energy of formation from the pure elements = 2.752 eV per atom

=====

Computed, not measured: a relaxed Tb2Nd5Er4 crystal at the PBE level of DFT.

a = 3.528 Å, b = 9.130 Å, c = 23.534 Å
α = 90.00°, β = 90.00°, γ = 90.00°
Space group Immm (No. 71)
Unique sites:
Tb 0.000 0.000 0.231
Nd 0.000 0.201 0.354
Nd 0.000 0.500 0.000
Er 0.000 0.000 0.096
Er 0.000 0.315 0.500

Results
energy above the lowest structure with this stoichiometry = 0.1164 eV per atom
density of states at the Fermi level = 17.38 states/eV/f.u.
M_tot = 0.0 Bohr magnetons per cell
volume = 758 Å³ per cell
energy of formation from the pure elements = 0.190 eV per atom

=====

Computed, not measured: a relaxed SrPmIr crystal at the PBE level of DFT.

a = 7.082 Å, b = 7.082 Å, c = 7.082 Å
α = 90.00°, β = 90.00°, γ = 90.00°
Space group F-43m (No. 216)
Unique sites:
Sr 0.000 0.000 0.000
Pm 0.000 0.000 0.500
Ir 0.250 0.250 0.250

Results
energy above the lowest structure with this stoichiometry = 0.1016 eV per atom
density of states at the Fermi level = 1.29 states/eV/f.u.
M_tot = 0.0 Bohr magnetons per cell
volume = 355 Å³ per cell
energy of formation from the pure elements = -0.326 eV per atom

=====

Computed, not measured: a relaxed Tb2AlS5 crystal at the PBE level of DFT.

a = 5.300 Å, b = 13.235 Å, c = 11.698 Å
α = 90.00°, β = 90.00°, γ = 90.00°
Space group Cmcm (No. 63)
Unique sites:
Tb 0.000 0.154 0.068
Al 0.000 0.191 0.750
S 0.000 0.041 0.632
S 0.000 0.283 0.250
S 0.000 0.305 0.595

Results
density of states at the Fermi level = 2.09 states/eV/f.u.
E_form (uncorrected) = -1.4158 eV/atom
M_tot = 1.8 Bohr magnetons per cell
volume = 821 Å³ per cell

=====

Computed, not measured: a relaxed CdTcSb crystal at the PBE level of DFT.

a = 3.2169 Å, b = 3.2169 Å, c = 7.0745 Å
α = 90.00°, β = 90.00°, γ = 120.00°
Space group P3m1 (No. 156)
Unique sites:
Cd 0.0000 0.0000 0.0000
Tc 0.3333 0.6667 0.6854
Sb 0.6667 0.3333 0.4161

Results
energy above the lowest structure with this stoichiometry = 0.0946 eV per atom
density of states at the Fermi level = 2.58 states/eV/f.u.
E_form (uncorrected) = 0.2799 eV/atom
M_tot = 0.2 Bohr magnetons per cell
volume = 63 Å³ per cell

=====

Computed, not measured: a relaxed Cu2SiMo crystal at the PBE level of DFT.

a = 4.433 Å, b = 2.664 Å, c = 4.778 Å
α = 90.00°, β = 108.04°, γ = 90.00°
Space group P2/m (No. 10)
Unique sites:
Cu 0.000 0.000 0.000
Cu 0.500 0.500 0.000
Si 0.000 0.500 0.500
Mo 0.500 0.000 0.500

Results
density of states at the Fermi level = 1.74 states/eV/f.u.
E_form (uncorrected) = -0.0055 eV/atom
M_tot = 0.0 Bohr magnetons per cell
volume = 54 Å³ per cell

=====

Computed, not measured: a relaxed FeBi3H crystal at the PBE level of DFT.

a = 5.070 Å, b = 5.070 Å, c = 5.070 Å
α = 90.00°, β = 90.00°, γ = 90.00°
Space group Pm-3m (No. 221)
Unique sites:
Fe 0.000 0.000 0.000
Bi 0.000 0.000 0.500
H 0.500 0.500 0.500

Results
energy above the lowest structure with this stoichiometry = 0.0000 eV per atom
density of states at the Fermi level = 1.93 states/eV/f.u.
M_tot = 0.0 Bohr magnetons per cell
volume = 130 Å³ per cell

=====

Computed, not measured: a relaxed NdGaNi crystal at the PBE level of DFT.

a = 4.239 Å, b = 4.245 Å, c = 6.845 Å
α = 90.00°, β = 90.09°, γ = 90.00°
Space group P2_1/m (No. 11)
Unique sites:
Nd 0.250 0.250 0.188
Ga 0.249 0.250 0.686
Ni 0.252 0.750 0.501

Results
density of states at the Fermi level = 2.55 states/eV/f.u.
M_tot = 0.0 Bohr magnetons per cell
volume = 123 Å³ per cell
energy of formation from the pure elements = -0.541 eV per atom